# 1
This record from the Alexandria database describes a relaxed Sc3B2Rh5 crystal. The functional is PBEsol.

**Energy relative to the elements**: -9.03 eV/f.u.
**D(E_F)**: 0.410 states/eV per atom
**Volume**: 271.0 Å³/cell
**Size of the total moment**: 0.00 Bohr magnetons per cell
**DFT total energy**: -0.6143 Ry per atom

```
20
Lattice="9.3826 0.0000 0.0000 0.0000 9.3826 0.0000 0.0000 0.0000 3.0785" Properties=species:S:1:pos:R:3 pbc="T T T"
Sc 0.0000 0.0000 0.0000
Sc 1.6399 3.0514 0.0000
Sc 3.0514 7.7427 0.0000
Sc 4.6913 4.6913 0.0000
Sc 6.3312 1.6399 0.0000
Sc 7.7427 6.3312 0.0000
B 1.1513 5.8426 0.0000
B 3.5400 1.1513 0.0000
B 5.8426 8.2313 0.0000
B 8.2313 3.5400 0.0000
Rh 0.0000 4.6913 1.5392
Rh 0.6689 7.2941 1.5392
Rh 2.0886 0.6689 1.5392
Rh 2.6027 5.3602 1.5392
Rh 4.0224 2.6027 1.5392
Rh 4.6913 0.0000 1.5392
Rh 5.3602 6.7799 1.5392
Rh 6.7799 4.0224 1.5392
Rh 7.2941 8.7137 1.5392
Rh 8.7137 2.0886 1.5392
```



# 2
This record from the Alexandria database describes a relaxed ScB3Rh crystal. The functional is PBEsol.

**Energy relative to the elements**: 2.60 eV/f.u.
**D(E_F)**: 0.989 states/eV per atom
**Volume**: 62.7 Å³/cell
**Size of the total moment**: 0.00 Bohr magnetons per cell
**DFT total energy**: -0.4879 Ry per atom

```
5
Lattice="3.9722 0.0000 0.0000 0.0000 3.9722 0.0000 0.0000 0.0000 3.9722" Properties=species:S:1:pos:R:3 pbc="T T T"
Sc 0.0000 0.0000 0.0000
B 0.0000 1.9861 1.9861
B 1.9861 0.0000 1.9861
B 1.9861 1.9861 0.0000
Rh 1.9861 1.9861 1.9861
```



# 3
This record from the Alexandria database describes a relaxed Sc2B6Rh crystal. The functional is PBEsol.

**Energy relative to the elements**: -7.15 eV/f.u.
**D(E_F)**: 0.280 states/eV per atom
**Volume**: 337.3 Å³/cell
**Size of the total moment**: 0.00 Bohr magnetons per cell
**DFT total energy**: -0.5766 Ry per atom

```
36
Lattice="8.8732 0.0000 0.0000 0.0000 11.1402 0.0000 0.0000 0.0000 3.4124" Properties=species:S:1:pos:R:3 pbc="T T T"
Sc 0.4949 1.4089 0.0000
Sc 1.6082 4.6148 0.0000
Sc 2.8284 10.1849 0.0000
Sc 3.9417 6.9790 0.0000
Sc 4.9315 4.1612 0.0000
Sc 6.0448 0.9553 0.0000
Sc 7.2651 6.5254 0.0000
Sc 8.3784 9.7313 0.0000
B 0.1791 3.1993 1.7062
B 0.4792 6.2800 1.7062
B 0.9088 10.8321 1.7062
B 1.1634 9.1232 1.7062
B 1.8105 2.6466 1.7062
B 2.1942 0.8706 1.7062
B 2.2424 6.4407 1.7062
B 2.6261 8.2167 1.7062
B 3.2733 3.5530 1.7062
B 3.5279 5.2620 1.7062
B 3.9574 0.7099 1.7062
B 4.2576 8.7694 1.7062
B 4.6157 2.3708 1.7062
B 4.9158 10.4303 1.7062
B 5.3454 5.8782 1.7062
B 5.6000 7.5872 1.7062
B 6.2471 2.9235 1.7062
B 6.6308 4.6995 1.7062
B 6.6790 10.2696 1.7062
B 7.0628 8.4936 1.7062
B 7.7099 2.0171 1.7062
B 7.9645 0.3081 1.7062
B 8.3941 4.8602 1.7062
B 8.6942 7.9409 1.7062
Rh 1.2501 7.5785 0.0000
Rh 3.1865 2.0084 0.0000
Rh 5.6868 9.1318 0.0000
Rh 7.6231 3.5617 0.0000
```



# 4
This record from the Alexandria database describes a relaxed BRh3Se crystal. The functional is PBEsol.

**D(E_F)**: 1.425 states/eV per atom
**Volume**: 68.1 Å³/cell
**Size of the total moment**: 0.02 Bohr magnetons per cell
**Uncorrected formation energy**: 0.144 eV per atom
**DFT total energy**: -0.5080 Ry per atom

```
5
Lattice="4.0835 0.0000 0.0000 0.0000 4.0835 0.0000 0.0000 0.0000 4.0835" Properties=species:S:1:pos:R:3 pbc="T T T"
B 0.0000 0.0000 0.0000
Rh 0.0000 0.0000 2.0418
Rh 0.0000 2.0418 0.0000
Rh 2.0418 0.0000 0.0000
Se 2.0418 2.0418 2.0418
```



# 5
This record from the Alexandria database describes a relaxed BRhSe3 crystal. The functional is PBEsol.

**D(E_F)**: 1.439 states/eV per atom
**Volume**: 110.2 Å³/cell
**Size of the total moment**: 0.00 Bohr magnetons per cell
**Uncorrected formation energy**: 1.254 eV per atom
**DFT total energy**: -0.3004 Ry per atom

```
5
Lattice="4.7944 0.0000 0.0000 0.0000 4.7944 0.0000 0.0000 0.0000 4.7944" Properties=species:S:1:pos:R:3 pbc="T T T"
B 0.0000 0.0000 0.0000
Rh 2.3972 2.3972 2.3972
Se 0.0000 2.3972 2.3972
Se 2.3972 0.0000 2.3972
Se 2.3972 2.3972 0.0000
```



# 6
This record from the Alexandria database describes a relaxed Si3BRh crystal. The functional is PBEsol.

**D(E_F)**: 0.762 states/eV per atom
**Volume**: 92.0 Å³/cell
**Size of the total moment**: 0.00 Bohr magnetons per cell
**Uncorrected formation energy**: 1.143 eV per atom
**DFT total energy**: -0.3922 Ry per atom

```
5
Lattice="4.5144 0.0000 0.0000 0.0000 4.5144 0.0000 0.0000 0.0000 4.5144" Properties=species:S:1:pos:R:3 pbc="T T T"
Si 0.0000 0.0000 2.2572
Si 0.0000 2.2572 0.0000
Si 2.2572 0.0000 0.0000
B 2.2572 2.2572 2.2572
Rh 0.0000 0.0000 0.0000
```



# 7
This record from the Alexandria database describes a relaxed YSiBRh3 crystal. The functional is PBEsol.

**D(E_F)**: 0.302 states/eV per atom
**Volume**: 86.0 Å³/cell
**Size of the total moment**: 0.00 Bohr magnetons per cell
**Uncorrected formation energy**: -0.855 eV per atom
**DFT total energy**: -0.6019 Ry per atom

```
6
Lattice="5.4125 0.0000 0.0000 -2.7063 4.6874 0.0000 0.0000 0.0000 3.3879" Properties=species:S:1:pos:R:3 pbc="T T T"
Y 0.0000 0.0000 0.0000
Si 2.7063 1.5625 0.0000
B 0.0000 3.1249 0.0000
Rh -1.2998 2.3745 1.6940
Rh 1.2998 2.3745 1.6940
Rh 0.0000 4.6258 1.6940
```



# 8
This record from the Alexandria database describes a relaxed SmB4Rh4 crystal. The functional is PBEsol.

**Energy relative to the elements**: -5.64 eV/f.u.
**D(E_F)**: 0.512 states/eV per atom
**Volume**: 207.8 Å³/cell
**Size of the total moment**: 0.00 Bohr magnetons per cell
**DFT total energy**: -0.5827 Ry per atom

```
18
Lattice="5.2955 0.0000 0.0000 0.0000 5.2955 0.0000 0.0000 0.0000 7.4094" Properties=species:S:1:pos:R:3 pbc="T T T"
Sm 1.3239 3.9717 1.8523
Sm 3.9717 1.3239 5.5570
B 0.4230 1.3239 0.7294
B 1.3239 0.4230 4.4341
B 1.3239 2.2248 4.4341
B 2.2248 1.3239 0.7294
B 3.0708 3.9717 6.6800
B 3.9717 3.0708 2.9753
B 3.9717 4.8725 2.9753
B 4.8725 3.9717 6.6800
Rh 0.0077 3.9717 4.4939
Rh 1.3239 2.6555 6.6202
Rh 1.3239 5.2878 6.6202
Rh 2.6400 3.9717 4.4939
Rh 2.6555 1.3239 2.9155
Rh 3.9717 0.0077 0.7892
Rh 3.9717 2.6400 0.7892
Rh 5.2878 1.3239 2.9155
```



# 9
This record from the Alexandria database describes a relaxed Sn3BRh crystal. The functional is PBEsol.

**Energy relative to the elements**: 3.69 eV/f.u.
**D(E_F)**: 0.723 states/eV per atom
**Volume**: 97.2 Å³/cell
**Size of the total moment**: 0.00 Bohr magnetons per cell
**DFT total energy**: -0.3564 Ry per atom

```
5
Lattice="4.5975 0.0000 0.0000 0.0000 4.5975 0.0000 0.0000 0.0000 4.5975" Properties=species:S:1:pos:R:3 pbc="T T T"
Sn 0.0000 0.0000 2.2988
Sn 0.0000 2.2988 0.0000
Sn 2.2988 0.0000 0.0000
B 0.0000 0.0000 0.0000
Rh 2.2988 2.2988 2.2988
```



# 10
This record from the Alexandria database describes a relaxed Sn4BRh6 crystal. The functional is PBEsol.

**Energy relative to the elements**: -5.51 eV/f.u.
**D(E_F)**: 0.233 states/eV per atom
**Volume**: 368.9 Å³/cell
**Size of the total moment**: 0.00 Bohr magnetons per cell
**DFT total energy**: -0.5238 Ry per atom

```
22
Lattice="5.5805 0.0000 0.0000 -2.7903 4.8329 0.0000 0.0000 0.0000 13.6790" Properties=species:S:1:pos:R:3 pbc="T T T"
Sn 0.0000 0.0000 3.4197
Sn 0.0000 0.0000 10.2592
Sn 0.0000 3.2219 1.0534
Sn 0.0000 3.2219 5.7860
Sn 0.0000 3.2219 10.2592
Sn 2.7903 1.6110 3.4197
Sn 2.7903 1.6110 7.8929
Sn 2.7903 1.6110 12.6255
B 0.0000 0.0000 0.0000
B 0.0000 0.0000 6.8395
Rh 0.0000 1.6269 8.1156
Rh 0.0000 1.6269 12.4028
Rh -1.3813 4.0194 8.1156
Rh -1.3813 4.0194 12.4028
Rh 1.4090 0.8135 1.2762
Rh 1.4090 0.8135 5.5633
Rh 1.3813 4.0194 8.1156
Rh 1.3813 4.0194 12.4028
Rh 4.1715 0.8135 1.2762
Rh 4.1715 0.8135 5.5633
Rh 2.7903 3.2059 1.2762
Rh 2.7903 3.2059 5.5633
```



# 11
This record from the Alexandria database describes a relaxed Sn2BTeRh crystal. The functional is PBEsol.

**D(E_F)**: 0.510 states/eV per atom
**Volume**: 99.3 Å³/cell
**Size of the total moment**: 0.00 Bohr magnetons per cell
**Uncorrected formation energy**: 0.763 eV per atom
**DFT total energy**: -0.3438 Ry per atom

```
5
Lattice="4.5349 0.0000 0.0000 0.0000 4.5349 0.0000 0.0000 0.0000 4.8285" Properties=species:S:1:pos:R:3 pbc="T T T"
Sn 0.0000 2.2674 0.0000
Sn 2.2674 0.0000 0.0000
B 0.0000 0.0000 0.0000
Te 0.0000 0.0000 2.4142
Rh 2.2674 2.2674 2.4142
```



# 12
This record from the Alexandria database describes a relaxed SrB2Rh2 crystal. The functional is PBEsol.

**Energy relative to the elements**: -2.85 eV/f.u.
**D(E_F)**: 0.211 states/eV per atom
**Volume**: 147.8 Å³/cell
**Size of the total moment**: 0.00 Bohr magnetons per cell
**DFT total energy**: -0.5145 Ry per atom

```
10
Lattice="0.0000 4.6596 5.2869 2.9988 0.0000 5.2869 2.9988 4.6596 0.0000" Properties=species:S:1:pos:R:3 pbc="T T T"
Sr 0.7497 1.1649 1.3217
Sr 5.2479 8.1543 9.2520
B 2.2491 1.8832 3.9651
B 3.7485 4.2130 6.6086
B 2.2491 5.1062 3.9651
B 3.7485 7.4360 6.6086
Rh 2.2491 3.4947 2.5875
Rh 3.7485 5.8245 5.2310
Rh 2.2491 3.4947 5.3428
Rh 3.7485 5.8245 7.9862
```